1.
Computed, not measured: a geometry-optimized Mn2AlHPd structure at the GGA-PBE level of DFT.

Values from the calculation:
As for the crystal system: tetragonal. Its density is 7.06 g/cm³. The calculation puts the total magnetization at 5.75 μB per formula unit. For the total DFT energy (no corrections), the calculation gives -6.351 eV per atom.

Structure (CIF):
```
data_Mn2AlHPd
_chemical_formula_sum 'Mn2 Al1 H1 Pd1'
_space_group_name_H-M_alt 'P 4/m m m'
_space_group_IT_number 123
_space_group_name_Hall '-P 4 2'
_cell_length_a 3.783
_cell_length_b 3.783
_cell_length_c 4.017
_cell_angle_alpha 90.00
_cell_angle_beta 90.00
_cell_angle_gamma 90.00
loop_
_atom_site_label
_atom_site_fract_x
_atom_site_fract_y
_atom_site_fract_z
_atom_site_occupancy
Mn1 0.000 0.500 0.000 1
Al1 0.000 0.000 0.500 1
H1 0.500 0.500 0.000 1
Pd1 0.500 0.500 0.500 1
```

=====

2.
Computed, not measured: a geometry-optimized MnAl2ReH structure at the GGA-PBE level of DFT.

Values from the calculation:
As for the crystal system: tetragonal. Its density is 8.54 g/cm³. The calculation puts the total magnetization at 2.81 μB per formula unit. For the total DFT energy (no corrections), the calculation gives -6.555 eV per atom.

Structure (CIF):
```
data_MnAl2ReH
_chemical_formula_sum 'Mn1 Al2 Re1 H1'
_space_group_name_H-M_alt 'P 4/m m m'
_space_group_IT_number 123
_space_group_name_Hall '-P 4 2'
_cell_length_a 4.157
_cell_length_b 4.157
_cell_length_c 3.332
_cell_angle_alpha 90.00
_cell_angle_beta 90.00
_cell_angle_gamma 90.00
loop_
_atom_site_label
_atom_site_fract_x
_atom_site_fract_y
_atom_site_fract_z
_atom_site_occupancy
Mn1 0.000 0.000 0.000 1
Al1 0.000 0.500 0.500 1
Re1 0.500 0.500 0.000 1
H1 0.000 0.000 0.500 1
```

=====

3.
Computed, not measured: a geometry-optimized MnAl2HRh structure at the GGA-PBE level of DFT.

Values from the calculation:
As for the crystal system: tetragonal. Its density is 6.41 g/cm³. The calculation puts the total magnetization at 1.53 μB per formula unit. For the total DFT energy (no corrections), the calculation gives -5.896 eV per atom.

Structure (CIF):
```
data_MnAl2HRh
_chemical_formula_sum 'Mn1 Al2 H1 Rh1'
_space_group_name_H-M_alt 'P 4/m m m'
_space_group_IT_number 123
_space_group_name_Hall '-P 4 2'
_cell_length_a 4.121
_cell_length_b 4.121
_cell_length_c 3.248
_cell_angle_alpha 90.00
_cell_angle_beta 90.00
_cell_angle_gamma 90.00
loop_
_atom_site_label
_atom_site_fract_x
_atom_site_fract_y
_atom_site_fract_z
_atom_site_occupancy
Mn1 0.000 0.000 0.000 1
Al1 0.000 0.500 0.500 1
H1 0.000 0.000 0.500 1
Rh1 0.500 0.500 0.000 1
```